First-principles (PBE) data for crystalline Li2ScCo at its relaxed geometry, as listed in Alexandria.

POSCAR file:
```
Li2ScCo
1.0
-4.371 -0.287 0.560
-0.349 -2.087 -3.876
2.723 -1.559 3.107
Sc Li Co
1 2 1
Direct
0.500 0.500 0.000
0.750 0.250 0.500
0.000 0.000 0.000
0.250 0.750 0.500
```

Computed properties:
ΔE to the lowest computed polymorph	0.0883	eV/atom
DOS(E_F)	1.36	states/eV per cell
calculated volume	61	Å³ per cell
formation energy from the elements	0.120	eV/atom

First-principles (PBE) data for crystalline LiScCo2 at its relaxed geometry, as listed in Alexandria.

POSCAR file:
```
LiScCo2
1.0
-3.019 -0.921 -0.142
0.089 -0.761 3.065
-1.607 5.066 1.304
Li Sc Co
1 1 2
Direct
0.500 0.500 0.250
0.500 0.500 0.750
0.000 0.000 0.038
0.000 0.000 0.462
```

Computed properties:
ΔE to the lowest computed polymorph	0.0264	eV/atom
DOS(E_F)	3.03	states/eV per cell
calculated volume	55	Å³ per cell
formation energy from the elements	0.057	eV/atom

First-principles (PBE) data for crystalline Li2ScCo at its relaxed geometry, as listed in Alexandria.

POSCAR file:
```
Li2ScCo
1.0
2.786 0.000 0.000
0.000 4.485 0.000
0.000 0.000 4.967
Li Co Sc
2 1 1
Direct
0.000 0.000 0.531
0.000 0.000 0.969
0.500 0.500 0.750
0.500 0.500 0.250
```

Computed properties:
ΔE to the lowest computed polymorph	0.2138	eV/atom
DOS(E_F)	3.81	states/eV per cell
calculated volume	62	Å³ per cell
formation energy from the elements	0.245	eV/atom

First-principles (PBE) data for crystalline Li2ScCo at its relaxed geometry, as listed in Alexandria.

POSCAR file:
```
Li2ScCo
1.0
-2.181 1.866 -1.193
1.109 -0.529 -2.855
-4.317 -5.469 -0.664
Co Li Sc
1 2 1
Direct
0.500 0.500 0.757
0.000 0.000 0.964
0.500 0.500 0.216
0.000 0.000 0.564
```

Computed properties:
ΔE to the lowest computed polymorph	0.0000	eV/atom
DOS(E_F)	2.92	states/eV per cell
calculated volume	68	Å³ per cell
formation energy from the elements	0.031	eV/atom

Computed values of size of the total moment (unit: μB/f.u.) for the preceding records, in sequence: 0.000 1.986 0.541 0.175.